Material: NaFeMo3
Method: DFT, GGA-PBE
State: relaxed

Output
The energy is -7.144 eV/atom. For the formation energy from the elements, the calculation gives 1.311 eV/atom. Its density of states at the Fermi level is 6.44 states/eV/cell. The value obtained for the calculated volume is 18.800 Å³/atom. The polymorph energy (0 for the lowest one) is 0.000 eV/atom. As for the symmetry: No. 221.

```
NaFeMo3
1.0
4.547 0.000 0.000
0.000 4.547 0.000
0.000 0.000 4.547
Mo Na Fe
3 1 1
Direct
0.500 0.000 0.000
0.000 0.500 0.000
0.000 0.000 0.500
0.500 0.500 0.500
0.000 0.000 0.000
```